(1)
DFT (PBE) results for a geometry-optimized FeAs2 structure.

Summary:
Formation energy = -0.80 eV/f.u.
Calculated volume = 91.8 Å³/cell
Energy = -6.186 eV per atom

```
data_FeAs2
_space_group_name_H-M_alt 'P n n m'
_space_group_IT_number 58
_cell_length_a 5.308
_cell_length_b 5.990
_cell_length_c 2.887
_cell_angle_alpha 90.00
_cell_angle_beta 90.00
_cell_angle_gamma 90.00
loop_
_space_group_symop_operation_xyz
'x,y,z'
'-x,-y,-z'
'-x,-y,z'
'x,y,-z'
'x+1/2,-y+1/2,-z+1/2'
'-x+1/2,y+1/2,z+1/2'
'-x+1/2,y+1/2,-z+1/2'
'x+1/2,-y+1/2,z+1/2'
loop_
_atom_site_label
_atom_site_type_symbol
_atom_site_fract_x
_atom_site_fract_y
_atom_site_fract_z
Fe1 Fe 0.000 0.000 0.000
As1 As 0.179 0.361 0.000
```

***

(2)
DFT (PBE) results for a geometry-optimized Fe4As structure.

Summary:
ΔE to the lowest computed polymorph = 0.8591 eV/atom
Formation energy = 4.42 eV/f.u.
Calculated volume = 81.3 Å³/cell
Energy = -6.815 eV per atom

```
data_Fe4As
_space_group_name_H-M_alt 'P m -3 m'
_space_group_IT_number 221
_space_group_name_Hall '-P 4 2 3'
_cell_length_a 4.333
_cell_length_b 4.333
_cell_length_c 4.333
_cell_angle_alpha 90.00
_cell_angle_beta 90.00
_cell_angle_gamma 90.00
loop_
_atom_site_label
_atom_site_type_symbol
_atom_site_fract_x
_atom_site_fract_y
_atom_site_fract_z
Fe1 Fe 0.000 0.000 0.000
Fe2 Fe 0.000 0.500 0.500
As1 As 0.500 0.500 0.500
```

***

(3)
DFT (PBE) results for a geometry-optimized Fe3As structure.

Summary:
Formation energy = 0.03 eV/f.u.
Calculated volume = 50.0 Å³/cell
Energy = -7.502 eV per atom

```
data_Fe3As
_space_group_name_H-M_alt 'P m -3 m'
_space_group_IT_number 221
_space_group_name_Hall '-P 4 2 3'
_cell_length_a 3.683
_cell_length_b 3.683
_cell_length_c 3.683
_cell_angle_alpha 90.00
_cell_angle_beta 90.00
_cell_angle_gamma 90.00
loop_
_atom_site_label
_atom_site_type_symbol
_atom_site_fract_x
_atom_site_fract_y
_atom_site_fract_z
Fe1 Fe 0.000 0.000 0.500
As1 As 0.500 0.500 0.500
```

***

(4)
DFT (PBE) results for a geometry-optimized FeAs2 structure.

Summary:
Formation energy = 0.06 eV/f.u.
Calculated volume = 57.6 Å³/cell
Energy = -5.902 eV per atom

```
data_FeAs2
_space_group_name_H-M_alt 'P -3 m 1'
_space_group_IT_number 164
_space_group_name_Hall '-P 3 2"'
_cell_length_a 2.9506
_cell_length_b 2.9506
_cell_length_c 7.6369
_cell_angle_alpha 90.00
_cell_angle_beta 90.00
_cell_angle_gamma 120.00
loop_
_atom_site_label
_atom_site_type_symbol
_atom_site_fract_x
_atom_site_fract_y
_atom_site_fract_z
Fe1 Fe 0.0000 0.0000 0.0000
As1 As 0.3333 0.6667 0.2344
```

***

(5)
DFT (PBE) results for a geometry-optimized Fe3As structure.

Summary:
Formation energy = 0.06 eV/f.u.
Calculated volume = 197.7 Å³/cell
Energy = -7.494 eV per atom

```
data_Fe3As
_space_group_name_H-M_alt 'I m m a'
_space_group_IT_number 74
_space_group_name_Hall '-I 2b 2'
_cell_length_a 5.264
_cell_length_b 6.489
_cell_length_c 5.786
_cell_angle_alpha 90.00
_cell_angle_beta 90.00
_cell_angle_gamma 90.00
loop_
_atom_site_label
_atom_site_type_symbol
_atom_site_fract_x
_atom_site_fract_y
_atom_site_fract_z
Fe1 Fe 0.000 0.250 0.023
Fe2 Fe 0.250 0.030 0.750
As1 As 0.000 0.250 0.467
```

***

(6)
DFT (PBE) results for a geometry-optimized Fe3As structure.

Summary:
Formation energy = 0.04 eV/f.u.
Calculated volume = 99.0 Å³/cell
Energy = -7.500 eV per atom

```
data_Fe3As
_space_group_name_H-M_alt 'I 4/m m m'
_space_group_IT_number 139
_space_group_name_Hall '-I 4 2'
_cell_length_a 3.632
_cell_length_b 3.632
_cell_length_c 7.506
_cell_angle_alpha 90.00
_cell_angle_beta 90.00
_cell_angle_gamma 90.00
loop_
_atom_site_label
_atom_site_type_symbol
_atom_site_fract_x
_atom_site_fract_y
_atom_site_fract_z
Fe1 Fe 0.000 0.000 0.000
Fe2 Fe 0.000 0.500 0.250
As1 As 0.000 0.000 0.500
```

***

(7)
DFT (PBE) results for a geometry-optimized Fe2As structure.

Summary:
Formation energy = 1.06 eV/f.u.
Calculated volume = 166.0 Å³/cell
Energy = -6.838 eV per atom

```
data_Fe2As
_space_group_name_H-M_alt 'I 41/a m d'
_space_group_IT_number 141
_cell_length_a 2.949
_cell_length_b 2.949
_cell_length_c 19.091
_cell_angle_alpha 90.00
_cell_angle_beta 90.00
_cell_angle_gamma 90.00
loop_
_space_group_symop_operation_xyz
'x,y,z'
'-x,-y,-z'
'-y+1/4,x+3/4,z+1/4'
'y+1/4,-x+3/4,-z+1/4'
'-x+1/2,-y,z+1/2'
'x+1/2,y,-z+1/2'
'y+1/4,-x+1/4,z+3/4'
'-y+1/4,x+1/4,-z+3/4'
'x,-y,-z'
'-x,y,z'
'-y+1/4,-x+1/4,-z+3/4'
'y+1/4,x+1/4,z+3/4'
'-x+1/2,y,-z+1/2'
'x+1/2,-y,z+1/2'
'y+1/4,x+3/4,-z+1/4'
'-y+1/4,-x+3/4,z+1/4'
'x+1/2,y+1/2,z+1/2'
'-x+1/2,-y+1/2,-z+1/2'
'-y+3/4,x+1/4,z+3/4'
'y+3/4,-x+1/4,-z+3/4'
'-x,-y+1/2,z'
'x,y+1/2,-z'
'y+3/4,-x+3/4,z+1/4'
'-y+3/4,x+3/4,-z+1/4'
'x+1/2,-y+1/2,-z+1/2'
'-x+1/2,y+1/2,z+1/2'
'-y+3/4,-x+3/4,-z+1/4'
'y+3/4,x+3/4,z+1/4'
'-x,y+1/2,-z'
'x,-y+1/2,z'
'y+3/4,x+1/4,-z+3/4'
'-y+3/4,-x+1/4,z+3/4'
loop_
_atom_site_label
_atom_site_type_symbol
_atom_site_fract_x
_atom_site_fract_y
_atom_site_fract_z
Fe1 Fe 0.000 0.250 0.300
As1 As 0.000 0.250 0.875
```

***

(8)
DFT (PBE) results for a geometry-optimized Fe2As3 structure.

Summary:
Formation energy = 0.40 eV/f.u.
Calculated volume = 227.6 Å³/cell
Energy = -6.096 eV per atom

```
data_Fe2As3
_space_group_name_H-M_alt 'R -3 m'
_space_group_IT_number 166
_space_group_name_Hall '-R 3 2"'
_cell_length_a 3.1031
_cell_length_b 3.1031
_cell_length_c 27.2949
_cell_angle_alpha 90.00
_cell_angle_beta 90.00
_cell_angle_gamma 120.00
loop_
_atom_site_label
_atom_site_type_symbol
_atom_site_fract_x
_atom_site_fract_y
_atom_site_fract_z
Fe1 Fe 0.0000 0.0000 0.0999
As1 As 0.0000 0.0000 0.2889
As2 As 0.0000 0.0000 0.5000
```